# PBE+U PmW4O12, optimized geometry
# Calculated total energy in eV per formula unit: -130.05
data_PmW4O12
_symmetry_space_group_name_H-M 'I m m m'
_symmetry_Int_Tables_number 71
_symmetry_space_group_name_Hall '-I 2 2'
_cell_length_a 7.692
_cell_length_b 7.856
_cell_length_c 7.863
_cell_angle_alpha 90.00
_cell_angle_beta 90.00
_cell_angle_gamma 90.00
loop_
_atom_site_label
_atom_site_type_symbol
_atom_site_fract_x
_atom_site_fract_y
_atom_site_fract_z
Pm1 Pm 0.000 0.000 0.000
W1 W 0.250 0.250 0.250
O1 O 0.000 0.276 0.276
O2 O 0.210 0.000 0.244
O3 O 0.210 0.242 0.000